PaPtAu, relaxed, DFT PBE; distance to the lowest polymorph of the same formula = 0 meV per atom; space group = Immm (71); electronic total energy = -6.97 eV/atom
1.0
-2.3438 3.1613 4.1066
2.3438 -3.1613 4.1066
2.3438 3.1613 -4.1066
Pa Pt Au
2 2 2
Cartesian
0.0000 1.4624 0.0000 Pa
0.0000 4.8601 0.0000 Pa
2.3438 0.0000 1.3665 Pt
0.0000 3.1613 2.7400 Pt
0.0000 0.0000 2.7565 Au
0.0000 0.0000 5.4566 Au

***

Rh2C, relaxed, DFT PBE; distance to the lowest polymorph of the same formula = 89 meV per atom; space group = R-3m (166); electronic total energy = -7.69 eV/atom
1.0
1.5740 0.9087 4.2149
-1.5740 0.9087 4.2149
0.0000 -1.8175 4.2149
Rh C
2 1
Cartesian
0.0000 0.0000 3.1337 Rh
0.0000 0.0000 9.5110 Rh
0.0000 0.0000 6.3224 C

***

K10Rb6Na, relaxed, DFT PBE; space group = P-31m (162); electronic total energy = -1.03 eV/atom
1.0
13.1411 0.0000 0.0000
-6.5706 11.3805 0.0000
0.0000 0.0000 8.8655
K Rb Na
10 6 1
Cartesian
-1.6068 2.7831 2.4841 K
-4.9637 8.5974 6.3814 K
3.2137 0.0000 2.4841 K
1.6068 2.7831 6.3814 K
0.0000 7.5870 0.0000 K
0.0000 7.5870 4.4327 K
6.5706 3.7935 0.0000 K
6.5706 3.7935 4.4327 K
9.9274 0.0000 6.3814 K
4.9637 8.5974 2.4841 K
-2.5664 4.4452 6.8217 Rb
-4.0041 6.9354 2.0437 Rb
5.1328 0.0000 6.8217 Rb
2.5664 4.4452 2.0437 Rb
8.0083 0.0000 2.0437 Rb
4.0041 6.9354 6.8217 Rb
0.0000 0.0000 0.0000 Na

***

LiCoAg2, relaxed, DFT PBE; space group = Pmmm (47); electronic total energy = -3.42 eV/atom
1.0
2.8764 0.0000 0.0000
0.0000 4.5411 0.0000
0.0000 0.0000 4.7496
Li Co Ag
1 1 2
Cartesian
0.0000 0.0000 0.0000 Li
1.4382 0.0000 2.3748 Co
0.0000 2.2705 2.3748 Ag
1.4382 2.2705 0.0000 Ag

***

The evaluated ΔE_f for the records listed, in turn: -0.695 0.281 0.035 0.265 eV per atom.
The evaluated volume for the records listed, in turn: 122 36 1326 62 Å³ per cell.
The evaluated density for the records listed, in turn: 17.0 10.0 1.2 7.5 g cm⁻³.